Entry from Alexandria via LeMat-Bulk: a geometry-optimized NdAl3B4O12 structure (PBE).

Cell and atoms, written as POSCAR:
```
NdAl3B4O12
1.0
5.973 0.000 0.000
-1.475 5.788 0.000
1.618 2.081 10.938
O Al B Nd
24 6 8 2
Direct
0.577 0.104 0.705
0.179 0.696 0.637
0.355 0.270 0.242
0.302 0.507 0.426
0.193 0.997 0.062
0.631 0.869 0.497
0.696 0.179 0.137
0.507 0.302 0.926
0.003 0.807 0.438
0.369 0.131 0.503
0.131 0.369 0.003
0.270 0.355 0.742
0.423 0.896 0.295
0.896 0.423 0.795
0.730 0.645 0.258
0.807 0.003 0.938
0.997 0.193 0.562
0.493 0.698 0.074
0.304 0.821 0.863
0.698 0.493 0.574
0.104 0.577 0.205
0.869 0.631 0.997
0.645 0.730 0.758
0.821 0.304 0.363
0.195 0.695 0.028
0.411 0.589 0.250
0.589 0.411 0.750
0.695 0.195 0.528
0.805 0.305 0.972
0.305 0.805 0.472
0.777 0.720 0.506
0.121 0.493 0.722
0.223 0.280 0.494
0.720 0.777 0.006
0.507 0.879 0.778
0.280 0.223 0.994
0.493 0.121 0.222
0.879 0.507 0.278
0.037 0.963 0.750
0.963 0.037 0.250
```

## Properties
Calculated total energy   -7.927 eV per atom
Magnetic moment   0.000 μB per formula unit
Crystal system   monoclinic

***

Entry from Alexandria via LeMat-Bulk: a geometry-optimized NdAl3B4O12 structure (PBE).

Cell and atoms, written as POSCAR:
```
NdAl3B4O12
1.0
-4.719 -0.895 3.540
3.684 -4.506 1.316
2.678 4.798 2.326
O B Al Nd
12 4 3 1
Direct
0.027 0.774 0.621
0.621 0.027 0.774
0.500 0.649 0.351
0.379 0.226 0.973
0.774 0.621 0.027
0.649 0.351 0.500
0.226 0.973 0.379
0.500 0.910 0.090
0.351 0.500 0.649
0.090 0.500 0.910
0.910 0.090 0.500
0.973 0.379 0.226
0.942 0.500 0.058
0.500 0.500 0.500
0.500 0.058 0.942
0.058 0.942 0.500
0.556 0.000 0.444
0.444 0.556 0.000
0.000 0.444 0.556
0.000 0.000 0.000
```

## Properties
Calculated total energy   -7.925 eV per atom
Magnetic moment   0.000 μB per formula unit
Crystal system   trigonal

***

Entry from Alexandria via LeMat-Bulk: a geometry-optimized NdAlBOs2 structure (PBE).

Cell and atoms, written as POSCAR:
```
NdAlBOs2
1.0
-1.661 3.336 1.904
-1.101 -4.882 2.993
6.290 0.938 3.843
Os B Al Nd
4 2 2 2
Direct
0.179 0.358 0.563
0.179 0.358 0.937
0.821 0.642 0.063
0.821 0.642 0.437
0.000 0.000 0.000
0.000 0.000 0.500
0.734 0.468 0.750
0.266 0.532 0.250
0.454 0.907 0.750
0.546 0.093 0.250
```

## Properties
Calculated total energy   -7.894 eV per atom
Magnetic moment   0.000 μB per formula unit
Crystal system   orthorhombic

***

Entry from Alexandria via LeMat-Bulk: a geometry-optimized Nd3Al2BOs3 structure (PBE).

Cell and atoms, written as POSCAR:
```
Nd3Al2BOs3
1.0
3.661 0.000 0.000
0.000 7.373 0.000
0.000 -3.687 6.386
Al Os Nd B
2 3 3 1
Direct
0.500 0.667 0.333
0.500 0.333 0.667
0.500 0.000 0.776
0.500 0.776 0.000
0.500 0.224 0.224
0.000 0.631 0.631
0.000 0.000 0.369
0.000 0.369 0.000
0.000 0.000 0.000
```

## Properties
Calculated total energy   -6.899 eV per atom
Magnetic moment   0.000 μB per formula unit
Crystal system   hexagonal

***

Entry from Alexandria via LeMat-Bulk: a geometry-optimized Nd3AlB2Pt9 structure (PBE).

Cell and atoms, written as POSCAR:
```
Nd3AlB2Pt9
1.0
5.822 0.000 0.000
-2.911 5.042 0.000
0.000 0.000 9.220
B Nd Pt Al
2 3 9 1
Direct
0.667 0.333 0.851
0.333 0.667 0.149
0.333 0.667 0.610
0.667 0.333 0.390
0.000 0.000 0.000
0.500 0.500 0.000
0.835 0.671 0.711
0.671 0.835 0.289
0.165 0.329 0.289
0.500 0.000 0.000
0.835 0.165 0.711
0.329 0.165 0.711
0.000 0.500 0.000
0.165 0.835 0.289
0.000 0.000 0.500
```

## Properties
Calculated total energy   -6.584 eV per atom
Magnetic moment   0.000 μB per formula unit
Crystal system   trigonal

***

Entry from Alexandria via LeMat-Bulk: a geometry-optimized Nd2AlB2Rh5 structure (PBE).

Cell and atoms, written as POSCAR:
```
Nd2AlB2Rh5
1.0
-0.229 -1.882 -2.591
-6.316 -5.679 4.684
-7.329 5.431 -3.297
Nd Rh B Al
4 10 4 2
Direct
0.000 0.177 0.323
0.000 0.823 0.677
0.000 0.323 0.823
0.000 0.677 0.177
0.500 0.500 0.000
0.500 0.778 0.931
0.500 0.931 0.222
0.500 0.222 0.069
0.500 0.000 0.500
0.500 0.569 0.722
0.500 0.722 0.431
0.500 0.069 0.778
0.500 0.278 0.569
0.500 0.431 0.278
0.000 0.879 0.379
0.000 0.621 0.879
0.000 0.121 0.621
0.000 0.379 0.121
0.000 0.500 0.500
0.000 0.000 0.000
```

## Properties
Calculated total energy   -7.057 eV per atom
Magnetic moment   0.000 μB per formula unit
Crystal system   tetragonal